Computed, not measured: an optimized crystal structure of Sm2GaCu2Pt5 at the PBE level of DFT.

Properties
- energy of formation from the pure elements (eV/atom) = -0.79
- total moment (μB/f.u.) = 0.00

abc: 9.5049 9.5049 3.8534
angles: 90.00 90.00 90.00
Last column: nearest neighbours and their distance in Å.
Fractional positions:
1 Sm 0.1755 0.3245 0.0000  3 Cu 2.71-2.88
2 Sm 0.3245 0.8245 0.0000  3 Cu 2.71-2.88
3 Sm 0.6755 0.1755 0.0000  3 Cu 2.71-2.88
4 Sm 0.8245 0.6755 0.0000  3 Cu 2.71-2.88
5 Ga 0.0000 0.0000 0.0000  8 Pt 2.80
6 Ga 0.5000 0.5000 0.0000  8 Pt 2.80
7 Cu 0.1231 0.6231 0.0000  6 Pt 2.54-2.59, 1 Sm 2.71
8 Cu 0.3769 0.1231 0.0000  6 Pt 2.54-2.59, 1 Sm 2.71
9 Cu 0.6231 0.8769 0.0000  6 Pt 2.54-2.59, 1 Sm 2.71
10 Cu 0.8769 0.3769 0.0000  6 Pt 2.54-2.59, 1 Sm 2.71
11 Pt 0.0000 0.5000 0.5000  4 Cu 2.54
12 Pt 0.0650 0.7958 0.5000  2 Cu 2.59, 2 Ga 2.80, 3 Pt 2.88
13 Pt 0.2042 0.0650 0.5000  2 Cu 2.59, 2 Ga 2.80, 3 Pt 2.88
14 Pt 0.2958 0.5650 0.5000  2 Cu 2.59, 2 Ga 2.80, 3 Pt 2.88
15 Pt 0.4350 0.2958 0.5000  2 Cu 2.59, 2 Ga 2.80, 3 Pt 2.88
16 Pt 0.5000 0.0000 0.5000  4 Cu 2.54
17 Pt 0.5650 0.7042 0.5000  2 Cu 2.59, 2 Ga 2.80, 3 Pt 2.88
18 Pt 0.7042 0.4350 0.5000  2 Cu 2.59, 2 Ga 2.80, 3 Pt 2.88
19 Pt 0.7958 0.9350 0.5000  2 Cu 2.59, 2 Ga 2.80, 3 Pt 2.88
20 Pt 0.9350 0.2042 0.5000  2 Cu 2.59, 2 Ga 2.80, 3 Pt 2.88